MnSb2Se | GGA-PBE | relaxed

Summary:
Magnetization = 4.5 μB/f.u.

Cell lengths 7.769, 7.769, 3.948 Å; angles 75.35, 75.35, 25.77 degrees
Fractional positions:
Mn 0.250 0.250 0.250
Sb 0.942 0.942 0.057
Sb 0.558 0.558 0.443
Se 0.750 0.750 0.750

***

RbHSeO4 | GGA-PBE | relaxed

Summary:
Magnetization = 0.0 μB/f.u.

Cell lengths 4.688, 7.763, 13.244 Å; angles 90.00, 90.00, 90.00 degrees
Fractional positions:
Rb 0.814 0.455 0.879
Rb 0.186 0.955 0.621
Rb 0.686 0.545 0.379
Rb 0.314 0.045 0.121
H 0.281 0.836 0.885
H 0.719 0.336 0.615
H 0.219 0.164 0.385
H 0.781 0.664 0.115
Se 0.732 0.965 0.873
Se 0.268 0.465 0.627
Se 0.768 0.035 0.373
Se 0.232 0.535 0.127
O 0.586 0.074 0.780
O 0.414 0.574 0.720
O 0.914 0.926 0.280
O 0.086 0.426 0.220
O 0.838 0.086 0.969
O 0.162 0.586 0.531
O 0.662 0.914 0.469
O 0.338 0.414 0.031
O 0.987 0.831 0.831
O 0.013 0.331 0.669
O 0.513 0.169 0.331
O 0.487 0.669 0.169
O 0.470 0.827 0.925
O 0.530 0.327 0.575
O 0.030 0.173 0.425
O 0.970 0.673 0.075

***

ZrB3Se | GGA-PBE | relaxed

Summary:
Magnetization = 0.0 μB/f.u.

Cell lengths 4.070, 4.070, 4.070 Å; angles 90.00, 90.00, 90.00 degrees
Fractional positions:
B 0.000 0.500 0.000
B 0.000 0.000 0.500
B 0.500 0.000 0.000
Se 0.000 0.000 0.000
Zr 0.500 0.500 0.500

***

Ti3MnGa4 | GGA-PBE | relaxed

Summary:
Magnetization = 0.0 μB/f.u.
Energy of formation = -2.38 eV per formula unit

Cell lengths 5.182, 5.320, 8.839 Å; angles 90.00, 90.00, 90.00 degrees
Fractional positions:
Ti 0.675 0.899 0.000
Ti 0.915 0.635 0.274
Ti 0.415 0.365 0.226
Ti 0.175 0.101 0.500
Ti 0.415 0.365 0.774
Ti 0.915 0.635 0.726
Mn 0.242 0.174 0.000
Mn 0.742 0.826 0.500
Ga 0.185 0.673 0.000
Ga 0.751 0.404 0.000
Ga 0.917 0.129 0.238
Ga 0.417 0.871 0.262
Ga 0.251 0.596 0.500
Ga 0.685 0.327 0.500
Ga 0.417 0.871 0.738
Ga 0.917 0.129 0.762

***

ScCr3 | GGA-PBE | relaxed

Summary:
Magnetization = 1.5 μB/f.u.
Energy of formation = 2.17 eV per formula unit

Cell lengths 9.213, 9.213, 9.213 Å; angles 157.57, 157.57, 31.93 degrees
Fractional positions:
Sc 0.375 0.375 0.000
Sc 0.625 0.625 0.000
Cr 0.500 0.000 0.500
Cr 0.000 0.500 0.500
Cr 0.750 0.250 0.500
Cr 0.250 0.750 0.500
Cr 0.127 0.127 0.000
Cr 0.873 0.873 0.000

***

ReMoN | GGA-PBE | relaxed

Summary:
Magnetization = 0.0 μB/f.u.

Cell lengths 2.896, 3.850, 3.850 Å; angles 120.00, 90.00, 90.00 degrees
Fractional positions:
Re 0.167 0.000 0.000
Mo 0.666 0.333 0.667
N 0.167 0.667 0.333

***

no.,total energy (eV per formula unit),DOS(E_F) (states/eV per atom)
1,-20.56,0.409
2,-35.42,0.000
3,-24.61,0.566
4,-47.34,0.707
5,-33.04,1.443
6,-29.74,0.372